1.
Below is HfGeO4F after structural relaxation, with properties calculated at the PBE-GGA level.

## Properties
Its raw formation energy is -2333 meV per atom.

Cell lengths 5.5739, 5.5739, 6.5171 Å; angles 101.48, 101.48, 73.62 degrees
Positions (direct):
1 Hf 0.2089 0.2089 0.0897
2 Hf 0.7911 0.7911 0.9103
3 Ge 0.3600 0.3600 0.7038
4 Ge 0.6400 0.6400 0.2962
5 O 0.1171 0.4917 0.8621
6 O 0.2605 0.2605 0.4359
7 O 0.4379 0.4379 0.2561
8 O 0.4917 0.1171 0.8621
9 O 0.5083 0.8829 0.1379
10 O 0.5621 0.5621 0.7439
11 O 0.7395 0.7395 0.5641
12 O 0.8829 0.5083 0.1379
13 F 0.0136 0.0136 0.8240
14 F 0.9864 0.9864 0.1760

2.
Below is HfGeOF2 after structural relaxation, with properties calculated at the PBE-GGA level.

## Properties
The energy relative to the lowest polymorph listed for this composition comes out at 6.44 eV/f.u. Its raw formation energy is -800 meV per atom.

Cell lengths 4.3762, 4.3762, 3.9381 Å; angles 90.00, 90.00, 90.00 degrees
Positions (direct):
1 Hf 0.0000 0.0000 0.0000
2 Ge 0.5000 0.5000 0.5000
3 O 0.5000 0.5000 0.0000
4 F 0.0000 0.5000 0.5000
5 F 0.5000 0.0000 0.5000

3.
Below is Rb2HfGeF6 after structural relaxation, with properties calculated at the PBE-GGA level.

## Properties
Its raw formation energy is -2724 meV per atom.

Cell lengths 7.4186, 7.4186, 7.4186 Å; angles 130.50, 130.50, 72.62 degrees
Positions (direct):
1 Rb 0.2500 0.7500 0.5000
2 Rb 0.7500 0.2500 0.5000
3 Hf 0.0000 0.0000 0.0000
4 Ge 0.5000 0.5000 0.0000
5 F 0.1682 0.1682 0.0000
6 F 0.2279 0.2279 0.4558
7 F 0.2279 0.7721 0.0000
8 F 0.7721 0.2279 0.0000
9 F 0.7721 0.7721 0.5442
10 F 0.8318 0.8318 0.0000

4.
Below is HfGeRu2F after structural relaxation, with properties calculated at the PBE-GGA level.

## Properties
Its raw formation energy is 139 meV per atom.

Cell lengths 4.4061, 4.4061, 4.0610 Å; angles 90.00, 90.00, 90.00 degrees
Positions (direct):
1 Hf 0.0000 0.0000 0.0000
2 Ge 0.5000 0.5000 0.0000
3 Ru 0.0000 0.5000 0.5000
4 Ru 0.5000 0.0000 0.5000
5 F 0.0000 0.0000 0.5000

5.
Below is HfTc2GeF after structural relaxation, with properties calculated at the PBE-GGA level.

## Properties
Its raw formation energy is 274 meV per atom.

Cell lengths 4.8090, 4.8090, 3.8259 Å; angles 90.00, 90.00, 90.00 degrees
Positions (direct):
1 Hf 0.0000 0.0000 0.0000
2 Tc 0.0000 0.5000 0.5000
3 Tc 0.5000 0.0000 0.5000
4 Ge 0.5000 0.5000 0.5000
5 F 0.5000 0.5000 0.0000

6.
Below is HfTlGe2F after structural relaxation, with properties calculated at the PBE-GGA level.

## Properties
Its raw formation energy is 231 meV per atom.

Cell lengths 5.1067, 5.1067, 5.9419 Å; angles 90.00, 90.00, 90.00 degrees
Positions (direct):
1 Hf 0.0000 0.0000 0.0000
2 Tl 0.0000 0.0000 0.5000
3 Ge 0.0000 0.5000 0.0000
4 Ge 0.5000 0.0000 0.0000
5 F 0.5000 0.5000 0.5000

7.
Below is Hg6GeF12 after structural relaxation, with properties calculated at the PBE-GGA level.

## Properties
Its raw formation energy is -1478 meV per atom.

Cell lengths 7.0659, 7.0659, 7.0659 Å; angles 98.82, 98.82, 98.82 degrees
Positions (direct):
1 Hg 0.0992 0.8179 0.6422
2 Hg 0.1821 0.3578 0.9008
3 Hg 0.3578 0.9008 0.1821
4 Hg 0.6422 0.0992 0.8179
5 Hg 0.8179 0.6422 0.0992
6 Hg 0.9008 0.1821 0.3578
7 Ge 0.5000 0.5000 0.5000
8 F 0.0889 0.8942 0.3331
9 F 0.1058 0.6669 0.9111
10 F 0.2396 0.4369 0.5148
11 F 0.3331 0.0889 0.8942
12 F 0.4369 0.5148 0.2396
13 F 0.4852 0.7604 0.5631
14 F 0.5148 0.2396 0.4369
15 F 0.5631 0.4852 0.7604
16 F 0.6669 0.9111 0.1058
17 F 0.7604 0.5631 0.4852
18 F 0.8942 0.3331 0.0889
19 F 0.9111 0.1058 0.6669

8.
Below is HgGe3F12 after structural relaxation, with properties calculated at the PBE-GGA level.

## Properties
Its raw formation energy is -2180 meV per atom.

Cell lengths 10.7796, 10.7796, 10.7796 Å; angles 50.34, 50.34, 50.34 degrees
Positions (direct):
1 Hg 0.0000 0.0000 0.0000
2 Hg 0.5000 0.5000 0.5000
3 Ge 0.0455 0.4929 0.6755
4 Ge 0.1755 0.9929 0.5455
5 Ge 0.4929 0.6755 0.0455
6 Ge 0.5455 0.1755 0.9929
7 Ge 0.6755 0.0455 0.4929
8 Ge 0.9929 0.5455 0.1755
9 F 0.0305 0.6744 0.6520
10 F 0.1313 0.4983 0.4738
11 F 0.1520 0.1744 0.5305
12 F 0.1744 0.5305 0.1520
13 F 0.1768 0.3085 0.7880
14 F 0.2880 0.8085 0.6768
15 F 0.2945 0.9846 0.3426
16 F 0.3085 0.7880 0.1768
17 F 0.3426 0.2945 0.9846
18 F 0.4738 0.1313 0.4983
19 F 0.4846 0.7945 0.8426
20 F 0.4983 0.4738 0.1313
21 F 0.5305 0.1520 0.1744
22 F 0.6313 0.9738 0.9983
23 F 0.6520 0.0305 0.6744
24 F 0.6744 0.6520 0.0305
25 F 0.6768 0.2880 0.8085
26 F 0.7880 0.1768 0.3085
27 F 0.7945 0.8426 0.4846
28 F 0.8085 0.6768 0.2880
29 F 0.8426 0.4846 0.7945
30 F 0.9738 0.9983 0.6313
31 F 0.9846 0.3426 0.2945
32 F 0.9983 0.6313 0.9738